[1]
Computed, not measured: KBaBiO4 after structural relaxation at the PBE-GGA level of DFT.

Properties
The calculation puts the density at 5.90 Mg/m³. For the uncorrected formation energy, the calculation gives -158.09 kJ/mol of atoms.

```
data_KBaBiO4
_space_group_name_H-M_alt 'I 4 m m'
_space_group_IT_number 107
_space_group_name_Hall 'I 4 -2'
_cell_length_a 4.332
_cell_length_b 4.332
_cell_length_c 13.474
_cell_angle_alpha 90.00
_cell_angle_beta 90.00
_cell_angle_gamma 90.00
loop_
_atom_site_label
_atom_site_type_symbol
_atom_site_fract_x
_atom_site_fract_y
_atom_site_fract_z
_atom_site_occupancy
K1 K 0.000 0.000 0.000 1
Ba1 Ba 0.000 0.000 0.703 1
Bi1 Bi 0.000 0.000 0.357 1
O1 O 0.000 0.000 0.199 1
O2 O 0.000 0.000 0.510 1
O3 O 0.000 0.500 0.342 1
```

[2]
Computed, not measured: PdS5I after structural relaxation at the PBE-GGA level of DFT.

Properties
The density of states at the Fermi level comes out at 3.796 states/eV/f.u. The calculation puts the density at 2.86 Mg/m³. For the uncorrected formation energy, the calculation gives 12.21 kJ/mol of atoms.

```
data_PdS5I
_space_group_name_H-M_alt 'P 1'
_space_group_IT_number 1
_cell_length_a 6.220
_cell_length_b 6.272
_cell_length_c 6.725
_cell_angle_alpha 99.33
_cell_angle_beta 96.77
_cell_angle_gamma 115.43
loop_
_space_group_symop_operation_xyz
'x,y,z'
loop_
_atom_site_label
_atom_site_type_symbol
_atom_site_fract_x
_atom_site_fract_y
_atom_site_fract_z
_atom_site_occupancy
Pd1 Pd 0.000 0.000 0.000 1
S1 S 0.181 0.387 0.483 1
S2 S 0.224 0.122 0.339 1
S3 S 0.282 0.920 0.851 1
S4 S 0.839 0.997 0.658 1
S5 S 0.932 0.793 0.474 1
I1 I 0.554 0.848 0.093 1
```

[3]
Computed, not measured: Hg2SbIr after structural relaxation at the PBE-GGA level of DFT.

Properties
The density of states at the Fermi level comes out at 2.411 states/eV/f.u. The calculation puts the density at 10.85 Mg/m³. For the uncorrected formation energy, the calculation gives 16.48 kJ/mol of atoms.

```
data_Hg2SbIr
_space_group_name_H-M_alt 'A m m 2'
_space_group_IT_number 38
_cell_length_a 3.821
_cell_length_b 5.317
_cell_length_c 10.774
_cell_angle_alpha 90.00
_cell_angle_beta 90.00
_cell_angle_gamma 90.00
loop_
_space_group_symop_operation_xyz
'x,y,z'
'-x,-y,z'
'-x,y,z'
'x,-y,z'
'x,y+1/2,z+1/2'
'-x,-y+1/2,z+1/2'
'-x,y+1/2,z+1/2'
'x,-y+1/2,z+1/2'
loop_
_atom_site_label
_atom_site_type_symbol
_atom_site_fract_x
_atom_site_fract_y
_atom_site_fract_z
_atom_site_occupancy
Hg1 Hg 0.000 0.000 0.000 1
Hg2 Hg 0.500 0.000 0.325 1
Sb1 Sb 0.500 0.000 0.673 1
Ir1 Ir 0.000 0.000 0.519 1
```

[4]
Computed, not measured: GaCu5Pt8 after structural relaxation at the PBE-GGA level of DFT.

Properties
The density of states at the Fermi level comes out at 10.570 states/eV/f.u. The calculation puts the density at 15.30 Mg/m³. The calculated formation energy comes out at -0.83 kcal/mol of atoms.

```
data_GaCu5Pt8
_space_group_name_H-M_alt 'I -4'
_space_group_IT_number 82
_cell_length_a 7.398
_cell_length_b 7.398
_cell_length_c 7.728
_cell_angle_alpha 90.00
_cell_angle_beta 90.00
_cell_angle_gamma 90.00
loop_
_space_group_symop_operation_xyz
'x,y,z'
'y,-x,-z'
'-x,-y,z'
'-y,x,-z'
'x+1/2,y+1/2,z+1/2'
'y+1/2,-x+1/2,-z+1/2'
'-x+1/2,-y+1/2,z+1/2'
'-y+1/2,x+1/2,-z+1/2'
loop_
_atom_site_label
_atom_site_type_symbol
_atom_site_fract_x
_atom_site_fract_y
_atom_site_fract_z
_atom_site_occupancy
Ga1 Ga 0.000 0.000 0.000 1
Cu1 Cu 0.000 0.500 0.750 1
Cu2 Cu 0.115 0.702 0.331 1
Pt1 Pt 0.069 0.833 0.656 1
Pt2 Pt 0.098 0.685 0.001 1
```

[5]
Computed, not measured: NdSm6Cd3 after structural relaxation at the PBE-GGA level of DFT.

Properties
The density of states at the Fermi level comes out at 12.435 states/eV/f.u. The calculation puts the density at 7.41 Mg/m³. The calculated formation energy comes out at -2.08 kcal/mol of atoms.

```
data_NdSm6Cd3
_space_group_name_H-M_alt 'C m c 21'
_space_group_IT_number 36
_cell_length_a 12.817
_cell_length_b 14.097
_cell_length_c 6.866
_cell_angle_alpha 90.00
_cell_angle_beta 90.00
_cell_angle_gamma 90.00
loop_
_space_group_symop_operation_xyz
'x,y,z'
'-x,-y,z+1/2'
'-x,y,z'
'x,-y,z+1/2'
'x+1/2,y+1/2,z'
'-x+1/2,-y+1/2,z+1/2'
'-x+1/2,y+1/2,z'
'x+1/2,-y+1/2,z+1/2'
loop_
_atom_site_label
_atom_site_type_symbol
_atom_site_fract_x
_atom_site_fract_y
_atom_site_fract_z
_atom_site_occupancy
Nd1 Nd 0.000 0.200 0.000 1
Sm1 Sm 0.000 0.198 0.517 1
Sm2 Sm 0.000 0.424 0.213 1
Sm3 Sm 0.217 0.027 0.505 1
Sm4 Sm 0.225 0.287 0.336 1
Cd1 Cd 0.000 0.002 0.258 1
Cd2 Cd 0.114 0.378 0.724 1
```

[6]
Computed, not measured: BaTeIrO6 after structural relaxation at the PBE-GGA level of DFT.

Properties
The density of states at the Fermi level comes out at 5.026 states/eV/f.u. The calculation puts the density at 6.34 Mg/m³. For the uncorrected formation energy, the calculation gives -138.76 kJ/mol of atoms.

```
data_BaTeIrO6
_space_group_name_H-M_alt 'P 3 1 2'
_space_group_IT_number 149
_cell_length_a 5.3548
_cell_length_b 5.3548
_cell_length_c 5.8351
_cell_angle_alpha 90.00
_cell_angle_beta 90.00
_cell_angle_gamma 120.00
loop_
_space_group_symop_operation_xyz
'x,y,z'
'-y,x-y,z'
'-x+y,-x,z'
'-y,-x,-z'
'-x+y,y,-z'
'x,x-y,-z'
loop_
_atom_site_label
_atom_site_type_symbol
_atom_site_fract_x
_atom_site_fract_y
_atom_site_fract_z
_atom_site_occupancy
Ba1 Ba 0.0000 0.0000 0.0000 1
Te1 Te 0.6667 0.3333 0.5000 1
Ir1 Ir 0.3333 0.6667 0.5000 1
O1 O 0.3780 0.0028 0.6888 1
```

[7]
Computed, not measured: SnAsCl3 after structural relaxation at the PBE-GGA level of DFT.

Properties
The density of states at the Fermi level comes out at 7.030 states/eV/f.u. As for the distance to the lowest polymorph of the same formula: 0 meV/atom. The calculation puts the density at 3.19 Mg/m³. For the uncorrected formation energy, the calculation gives -11.64 kJ/mol of atoms.

```
data_SnAsCl3
_space_group_name_H-M_alt 'P m -3 m'
_space_group_IT_number 221
_space_group_name_Hall '-P 4 2 3'
_cell_length_a 5.382
_cell_length_b 5.382
_cell_length_c 5.382
_cell_angle_alpha 90.00
_cell_angle_beta 90.00
_cell_angle_gamma 90.00
loop_
_atom_site_label
_atom_site_type_symbol
_atom_site_fract_x
_atom_site_fract_y
_atom_site_fract_z
_atom_site_occupancy
Sn1 Sn 0.000 0.000 0.000 1
As1 As 0.500 0.500 0.500 1
Cl1 Cl 0.000 0.000 0.500 1
```

[8]
Computed, not measured: MgRhAu after structural relaxation at the PBE-GGA level of DFT.

Properties
The density of states at the Fermi level comes out at 1.772 states/eV/f.u. As for the distance to the lowest polymorph of the same formula: 0 meV/atom. The calculation puts the density at 10.99 Mg/m³. The calculated formation energy comes out at -7.68 kcal/mol of atoms.

```
data_MgRhAu
_space_group_name_H-M_alt 'C m c m'
_space_group_IT_number 63
_space_group_name_Hall '-C 2c 2'
_cell_length_a 2.898
_cell_length_b 14.736
_cell_length_c 4.589
_cell_angle_alpha 90.00
_cell_angle_beta 90.00
_cell_angle_gamma 90.00
loop_
_atom_site_label
_atom_site_type_symbol
_atom_site_fract_x
_atom_site_fract_y
_atom_site_fract_z
_atom_site_occupancy
Mg1 Mg 0.000 0.114 0.250 1
Rh1 Rh 0.000 0.231 0.750 1
Au1 Au 0.000 0.441 0.250 1
```

[9]
Computed, not measured: Ho3TmSn after structural relaxation at the PBE-GGA level of DFT.

Properties
The density of states at the Fermi level comes out at 5.402 states/eV/f.u. The calculation puts the density at 9.22 Mg/m³. The calculated formation energy comes out at -6.83 kcal/mol of atoms.

```
data_Ho3TmSn
_space_group_name_H-M_alt 'C 1 2/c 1'
_space_group_IT_number 15
_cell_length_a 17.019
_cell_length_b 6.013
_cell_length_c 11.617
_cell_angle_alpha 90.00
_cell_angle_beta 108.47
_cell_angle_gamma 90.00
loop_
_space_group_symop_operation_xyz
'x,y,z'
'-x,-y,-z'
'-x,y,-z+1/2'
'x,-y,z+1/2'
'x+1/2,y+1/2,z'
'-x+1/2,-y+1/2,-z'
'-x+1/2,y+1/2,-z+1/2'
'x+1/2,-y+1/2,z+1/2'
loop_
_atom_site_label
_atom_site_type_symbol
_atom_site_fract_x
_atom_site_fract_y
_atom_site_fract_z
_atom_site_occupancy
Ho1 Ho 0.051 0.239 0.006 1
Ho2 Ho 0.096 0.406 0.749 1
Ho3 Ho 0.204 0.053 0.246 1
Tm1 Tm 0.151 0.264 0.493 1
Sn1 Sn 0.000 0.083 0.250 1
Sn2 Sn 0.250 0.250 0.000 1
```

[10]
Computed, not measured: HgHS2 after structural relaxation at the PBE-GGA level of DFT.

Properties
The density of states at the Fermi level comes out at 1.607 states/eV/f.u. As for the distance to the lowest polymorph of the same formula: 775 meV/atom. The calculation puts the density at 6.35 Mg/m³.

```
data_HgHS2
_space_group_name_H-M_alt 'R -3 m'
_space_group_IT_number 166
_space_group_name_Hall '-R 3 2"'
_cell_length_a 3.3817
_cell_length_b 3.3817
_cell_length_c 21.0377
_cell_angle_alpha 90.00
_cell_angle_beta 90.00
_cell_angle_gamma 120.00
loop_
_atom_site_label
_atom_site_type_symbol
_atom_site_fract_x
_atom_site_fract_y
_atom_site_fract_z
_atom_site_occupancy
Hg1 Hg 0.0000 0.0000 0.0000 1
H1 H 0.0000 0.0000 0.5000 1
S1 S 0.0000 0.0000 0.1142 1
```

[11]
Computed, not measured: K2AgICl2 after structural relaxation at the PBE-GGA level of DFT.

Properties
The density of states at the Fermi level comes out at 0.000 states/eV/f.u. The calculation puts the density at 2.83 Mg/m³. For the uncorrected formation energy, the calculation gives -118.86 kJ/mol of atoms.

```
data_K2AgICl2
_space_group_name_H-M_alt 'I 4/m m m'
_space_group_IT_number 139
_space_group_name_Hall '-I 4 2'
_cell_length_a 5.980
_cell_length_b 5.980
_cell_length_c 12.608
_cell_angle_alpha 90.00
_cell_angle_beta 90.00
_cell_angle_gamma 90.00
loop_
_atom_site_label
_atom_site_type_symbol
_atom_site_fract_x
_atom_site_fract_y
_atom_site_fract_z
_atom_site_occupancy
K1 K 0.000 0.500 0.250 1
Ag1 Ag 0.000 0.000 0.000 1
I1 I 0.000 0.000 0.500 1
Cl1 Cl 0.000 0.000 0.188 1
```

[12]
Computed, not measured: YZnSb2F after structural relaxation at the PBE-GGA level of DFT.

Properties
The density of states at the Fermi level comes out at 3.345 states/eV/f.u. The calculation puts the density at 4.55 Mg/m³. For the uncorrected formation energy, the calculation gives -72.85 kJ/mol of atoms.

```
data_YZnSb2F
_space_group_name_H-M_alt 'P 4/m m m'
_space_group_IT_number 123
_space_group_name_Hall '-P 4 2'
_cell_length_a 6.018
_cell_length_b 6.018
_cell_length_c 4.199
_cell_angle_alpha 90.00
_cell_angle_beta 90.00
_cell_angle_gamma 90.00
loop_
_atom_site_label
_atom_site_type_symbol
_atom_site_fract_x
_atom_site_fract_y
_atom_site_fract_z
_atom_site_occupancy
Y1 Y 0.000 0.000 0.000 1
Zn1 Zn 0.500 0.500 0.500 1
Sb1 Sb 0.000 0.500 0.000 1
F1 F 0.000 0.000 0.500 1
```

Among the records above, which one has the highest density? GaCu5Pt8

The lowest density belongs to which entry? K2AgICl2

Which of these has the lowest density? K2AgICl2

What is the density in the seventh record? 3.19 Mg/m³